No. 1
This record from the Alexandria database describes Hf2AlPb2 after structural relaxation. The functional is PBE.

Cell: 4.164 4.164 7.959 Å, 74.84 74.84 90.00°
Atoms (fractional coordinates):
Pb1 0.750 0.250 0.500
Pb2 0.250 0.750 0.500
Hf1 0.406 0.406 0.188
Hf2 0.594 0.594 0.812
Al1 0.000 0.000 0.000

Results
The value obtained for the formation energy is 0.4903 eV/atom. The space group is I4/mmm, No. 139. For the energy above the most stable polymorph in this dataset, the calculation gives 387 meV per atom.

***

No. 2
This record from the Alexandria database describes Hf6AlPb after structural relaxation. The functional is PBE.

Cell: 6.375 6.375 6.361 Å, 105.25 105.25 121.61°
Atoms (fractional coordinates):
Al1 0.500 0.500 0.500
Hf1 0.978 0.522 0.738
Hf2 0.522 0.978 0.738
Hf3 0.022 0.478 0.262
Hf4 0.254 0.254 0.742
Hf5 0.478 0.022 0.262
Hf6 0.746 0.746 0.258
Pb1 0.000 0.000 0.000

Results
The value obtained for the formation energy is 0.3534 eV/atom. The space group is C2/m, No. 12. For the energy above the most stable polymorph in this dataset, the calculation gives 474 meV per atom.

***

No. 3
This record from the Alexandria database describes Hf6AlPb after structural relaxation. The functional is PBE.

Cell: 4.348 4.348 9.027 Å, 90.00 90.00 90.00°
Atoms (fractional coordinates):
Hf1 0.000 0.500 0.736
Hf2 0.500 0.000 0.264
Hf3 0.500 0.500 0.500
Hf4 0.000 0.500 0.264
Hf5 0.500 0.500 0.000
Hf6 0.500 0.000 0.736
Pb1 0.000 0.000 0.000
Al1 0.000 0.000 0.500

Results
The value obtained for the formation energy is -0.1203 eV/atom. The space group is P4/mmm, No. 123. For the energy above the most stable polymorph in this dataset, the calculation gives 0 meV per atom.

***

No. 4
This record from the Alexandria database describes HfAl3Pb after structural relaxation. The functional is PBE.

Cell: 5.248 5.248 5.248 Å, 90.00 90.00 90.00°
Atoms (fractional coordinates):
Pb1 0.500 0.500 0.500
Al1 0.500 0.000 0.000
Al2 0.000 0.000 0.500
Al3 0.000 0.500 0.000
Hf1 0.000 0.000 0.000

Results
The value obtained for the formation energy is 0.7736 eV/atom. The space group is Pm-3m, No. 221. For the energy above the most stable polymorph in this dataset, the calculation gives 0 meV per atom.

***

No. 5
This record from the Alexandria database describes Hf3AlPb after structural relaxation. The functional is PBE.

Cell: 4.983 4.983 4.983 Å, 90.00 90.00 90.00°
Atoms (fractional coordinates):
Hf1 0.000 0.000 0.500
Hf2 0.500 0.000 0.000
Hf3 0.000 0.500 0.000
Al1 0.000 0.000 0.000
Pb1 0.500 0.500 0.500

Results
The value obtained for the formation energy is 0.5520 eV/atom. The space group is Pm-3m, No. 221. For the energy above the most stable polymorph in this dataset, the calculation gives 0 meV per atom.

***

No. 6
This record from the Alexandria database describes Hf2AlPb2 after structural relaxation. The functional is PBE.

Cell: 7.343 7.343 4.439 Å, 90.00 90.00 90.00°
Atoms (fractional coordinates):
Pb1 0.660 0.840 0.500
Pb2 0.160 0.660 0.500
Pb3 0.340 0.160 0.500
Pb4 0.840 0.340 0.500
Hf1 0.348 0.848 0.000
Hf2 0.152 0.348 0.000
Hf3 0.848 0.652 0.000
Hf4 0.652 0.152 0.000
Al1 0.500 0.500 0.000
Al2 0.000 0.000 0.000

Results
The value obtained for the formation energy is 0.1036 eV/atom. The space group is P4/mbm, No. 127. For the energy above the most stable polymorph in this dataset, the calculation gives 0 meV per atom.

***

No. 7
This record from the Alexandria database describes Hf2Al2Pb after structural relaxation. The functional is PBE.

Cell: 7.209 7.209 3.957 Å, 90.00 90.00 90.00°
Atoms (fractional coordinates):
Al1 0.378 0.878 0.000
Al2 0.878 0.622 0.000
Al3 0.122 0.378 0.000
Al4 0.622 0.122 0.000
Hf1 0.825 0.325 0.500
Hf2 0.325 0.175 0.500
Hf3 0.175 0.675 0.500
Hf4 0.675 0.825 0.500
Pb1 0.500 0.500 0.000
Pb2 0.000 0.000 0.000

Results
The value obtained for the formation energy is -0.0393 eV/atom. The space group is P4/mbm, No. 127. For the energy above the most stable polymorph in this dataset, the calculation gives 0 meV per atom.

***

No. 8
This record from the Alexandria database describes Hf3AlPb after structural relaxation. The functional is PBE.

Cell: 5.272 5.272 5.272 Å, 90.00 90.00 90.00°
Atoms (fractional coordinates):
Pb1 0.000 0.000 0.000
Al1 0.500 0.500 0.500
Hf1 0.000 0.500 0.000
Hf2 0.500 0.000 0.000
Hf3 0.000 0.000 0.500

Results
The value obtained for the formation energy is 1.3670 eV/atom. The space group is Pm-3m, No. 221. For the energy above the most stable polymorph in this dataset, the calculation gives 815 meV per atom.